Entry 1:
# Cs2LiPdF6 (PBE, optimized geometry)
# **N(E_F)**: 20.82 states/eV/cell
# **V**: 16.70 Å³ per atom
# **Electronic total energy**: -4.2236 eV per atom
data_Cs2LiPdF6
_chemical_formula_sum 'Cs8 Li4 Pd4 F24'
_space_group_name_H-M_alt 'F m -3 m'
_space_group_IT_number 225
_space_group_name_Hall '-F 4 2 3'
_cell_length_a 8.742
_cell_length_b 8.742
_cell_length_c 8.742
_cell_angle_alpha 90.00
_cell_angle_beta 90.00
_cell_angle_gamma 90.00
loop_
_atom_site_label
_atom_site_type_symbol
_atom_site_fract_x
_atom_site_fract_y
_atom_site_fract_z
Cs1 Cs 0.250 0.250 0.250
Li1 Li 0.000 0.000 0.000
Pd1 Pd 0.000 0.000 0.500
F1 F 0.000 0.000 0.261

Entry 2:
# Mg2TeMo (PBE, optimized geometry)
# **N(E_F)**: 1.70 states/eV/cell
# **V**: 21.98 Å³ per atom
# **Electronic total energy**: -4.0380 eV per atom
data_Mg2TeMo
_chemical_formula_sum 'Mg2 Te1 Mo1'
_space_group_name_H-M_alt 'P 4/m m m'
_space_group_IT_number 123
_space_group_name_Hall '-P 4 2'
_cell_length_a 3.014
_cell_length_b 3.014
_cell_length_c 9.683
_cell_angle_alpha 90.00
_cell_angle_beta 90.00
_cell_angle_gamma 90.00
loop_
_atom_site_label
_atom_site_type_symbol
_atom_site_fract_x
_atom_site_fract_y
_atom_site_fract_z
Mg1 Mg 0.000 0.000 0.205
Te1 Te 0.500 0.500 0.500
Mo1 Mo 0.500 0.500 0.000

Entry 3:
# KGaTe3 (PBE, optimized geometry)
# **N(E_F)**: 5.97 states/eV/cell
# **V**: 44.84 Å³ per atom
# **Electronic total energy**: -2.0353 eV per atom
data_KGaTe3
_chemical_formula_sum 'K1 Ga1 Te3'
_space_group_name_H-M_alt 'P m -3 m'
_space_group_IT_number 221
_space_group_name_Hall '-P 4 2 3'
_cell_length_a 6.075
_cell_length_b 6.075
_cell_length_c 6.075
_cell_angle_alpha 90.00
_cell_angle_beta 90.00
_cell_angle_gamma 90.00
loop_
_atom_site_label
_atom_site_type_symbol
_atom_site_fract_x
_atom_site_fract_y
_atom_site_fract_z
K1 K 0.000 0.000 0.000
Ga1 Ga 0.500 0.500 0.500
Te1 Te 0.000 0.000 0.500

Entry 4:
# Sn2GeMo (PBE, optimized geometry)
# **N(E_F)**: 7.74 states/eV/cell
# **V**: 30.84 Å³ per atom
# **ΔE_f**: 872 meV/atom
data_Sn2GeMo
_chemical_formula_sum 'Sn8 Ge4 Mo4'
_space_group_name_H-M_alt 'I -4 2 d'
_space_group_IT_number 122
_space_group_name_Hall 'I -4 2bw'
_cell_length_a 6.284
_cell_length_b 6.284
_cell_length_c 12.494
_cell_angle_alpha 90.00
_cell_angle_beta 90.00
_cell_angle_gamma 90.00
loop_
_atom_site_label
_atom_site_type_symbol
_atom_site_fract_x
_atom_site_fract_y
_atom_site_fract_z
Sn1 Sn 0.249 0.250 0.125
Ge1 Ge 0.000 0.000 0.000
Mo1 Mo 0.000 0.000 0.500

Entry 5:
# SrIn2Si (PBE, optimized geometry)
# **N(E_F)**: 1.77 states/eV/cell
# **V**: 26.33 Å³ per atom
# **Electronic total energy**: -3.2093 eV per atom
data_SrIn2Si
_chemical_formula_sum 'Sr1 In2 Si1'
_space_group_name_H-M_alt 'P 4/m m m'
_space_group_IT_number 123
_space_group_name_Hall '-P 4 2'
_cell_length_a 3.749
_cell_length_b 3.749
_cell_length_c 7.496
_cell_angle_alpha 90.00
_cell_angle_beta 90.00
_cell_angle_gamma 90.00
loop_
_atom_site_label
_atom_site_type_symbol
_atom_site_fract_x
_atom_site_fract_y
_atom_site_fract_z
Sr1 Sr 0.000 0.000 0.000
In1 In 0.500 0.500 0.304
Si1 Si 0.000 0.000 0.500

Entry 6:
# VSi2OsPb (PBE, optimized geometry)
# **N(E_F)**: 6.40 states/eV/cell
# **V**: 20.86 Å³ per atom
# **Electronic total energy**: -6.3772 eV per atom
data_VSi2OsPb
_chemical_formula_sum 'V1 Si2 Os1 Pb1'
_space_group_name_H-M_alt 'P 4/m m m'
_space_group_IT_number 123
_space_group_name_Hall '-P 4 2'
_cell_length_a 4.597
_cell_length_b 4.597
_cell_length_c 4.936
_cell_angle_alpha 90.00
_cell_angle_beta 90.00
_cell_angle_gamma 90.00
loop_
_atom_site_label
_atom_site_type_symbol
_atom_site_fract_x
_atom_site_fract_y
_atom_site_fract_z
V1 V 0.000 0.000 0.000
Si1 Si 0.000 0.500 0.500
Os1 Os 0.000 0.000 0.500
Pb1 Pb 0.500 0.500 0.000